CoSnSeO after structural relaxation. Source: the Open Quantum Materials Database, functional PBE with a Hubbard U.

a b c (Å): 3.2652 3.2652 14.9217
angles (deg): 90.00 90.00 120.00
Space group P6_3mc (No. 186)
Symmetry-distinct sites (fractional):
Co1 0.3333 0.6667 0.0000 x2
Sn1 0.0000 0.0000 0.1995 x2
Se1 0.3333 0.6667 0.3823 x2
O1 0.0000 0.0000 0.0564 x2

Values from the calculation:
Mass density = 6.571 g/cm3
Offset from the most stable computed form = 0.236 eV per atom
Magnetization = 0.612 μB/atom